{"formula": "NaCeBiPd", "functional": "PBE-GGA", "state": "optimized geometry", "e_form_ev_per_atom": -0.43, "lattice_angstrom": [[-0.3934, -4.5804, -2.4971], [4.0342, -3.3310, -0.0060], [-0.2804, -4.4530, 2.7318]], "species": ["Ce", "Pd", "Na", "Bi"], "frac_coords": [[0.5000, 0.5000, 0.5000], [0.2500, 0.2500, 0.2500], [0.0000, 0.0000, 0.0000], [0.7500, 0.7500, 0.7500]]}

{"formula": "Na2CeBiS4", "functional": "PBE-GGA", "state": "optimized geometry", "raw_formation_energy_ev_per_fu": -9.94, "lattice_angstrom": [[-3.6893, 1.5890, -0.9924], [-2.3878, -6.5156, -1.5562], [-1.2381, 1.4104, 6.8611]], "species": ["S", "S", "Na", "S", "S", "Na", "Bi", "Ce"], "frac_coords": [[0.0000, 0.2566, 0.7667], [0.5000, 0.7547, 0.7645], [0.5000, 0.0000, 0.5000], [0.5000, 0.2453, 0.2355], [0.0000, 0.7434, 0.2333], [0.0000, 0.5000, 0.5000], [0.0000, 0.0000, 0.0000], [0.5000, 0.5000, 0.0000]]}

{"formula": "Na3CeBi2S6", "functional": "PBE-GGA", "state": "optimized geometry", "raw_formation_energy_ev_per_fu": -12.92, "lattice_angstrom": [[-6.9705, -1.3312, 0.4545], [4.2907, -1.6183, 5.4348], [-0.1091, 7.1084, 0.6564]], "species": ["Na", "Bi", "Na", "S", "Ce", "S", "S", "S", "S", "Na", "S", "Bi"], "frac_coords": [[0.8286, 0.1714, 0.5000], [0.6662, 0.3338, 0.0000], [0.5000, 0.5000, 0.5000], [0.4117, 0.0782, 0.2351], [0.0000, 0.0000, 0.0000], [0.9218, 0.5883, 0.7649], [0.0782, 0.4117, 0.2351], [0.2550, 0.2550, 0.7636], [0.7450, 0.7450, 0.2364], [0.1714, 0.8286, 0.5000], [0.5883, 0.9218, 0.7649], [0.3338, 0.6662, 0.0000]]}

{"formula": "Na3CeBi2Se6", "functional": "PBE-GGA", "state": "optimized geometry", "raw_formation_energy_ev_per_fu": -12.37, "lattice_angstrom": [[7.3909, -0.0014, 0.0024], [-3.6949, 6.4010, 0.0024], [-1.2307, -2.1309, 7.0468]], "species": ["Na", "Se", "Bi", "Bi", "Na", "Se", "Na", "Ce", "Se", "Se", "Se", "Se"], "frac_coords": [[0.8283, 0.1717, 0.5000], [0.4135, 0.0787, 0.2369], [0.6661, 0.3339, 0.0000], [0.3339, 0.6661, 0.0000], [0.5000, 0.5000, 0.5000], [0.2553, 0.2553, 0.7611], [0.1717, 0.8283, 0.5000], [0.0000, 0.0000, 0.0000], [0.5865, 0.9213, 0.7631], [0.9213, 0.5865, 0.7631], [0.0787, 0.4135, 0.2369], [0.7447, 0.7447, 0.2389]]}

{"formula": "NaCeSnBi", "functional": "PBE-GGA", "state": "optimized geometry", "e_form_ev_per_atom": -0.36, "lattice_angstrom": [[-5.0165, -2.1401, 0.3676], [-0.7000, -5.4072, -0.3904], [-1.4186, -2.8980, 4.4125]], "species": ["Ce", "Bi", "Na", "Sn"], "frac_coords": [[0.5000, 0.5000, 0.5000], [0.2500, 0.2500, 0.2500], [0.0000, 0.0000, 0.0000], [0.7500, 0.7500, 0.7500]]}

{"formula": "NaCeTh2Bi4", "functional": "PBE-GGA", "state": "optimized geometry", "e_form_ev_per_atom": -0.56, "lattice_angstrom": [[4.6179, 0.0000, 0.0000], [0.0000, 7.9681, 0.1766], [0.0000, -2.7711, 7.5148]], "species": ["Bi", "Bi", "Ce", "Bi", "Na", "Th", "Th", "Bi"], "frac_coords": [[0.0000, 0.7535, 0.2545], [0.0000, 0.2465, 0.7455], [0.0000, 0.0000, 0.0000], [0.5000, 0.2509, 0.2495], [0.5000, 0.5000, 0.0000], [0.5000, 0.0000, 0.5000], [0.0000, 0.5000, 0.5000], [0.5000, 0.7491, 0.7505]]}

{"formula": "CeNbBi2", "functional": "PBE-GGA", "state": "optimized geometry", "e_form_ev_per_atom": 0.17, "lattice_angstrom": [[-1.9015, 2.1164, -1.9028], [0.0119, -0.2880, -3.4106], [-9.1119, -6.4986, -1.2006]], "species": ["Ce", "Nb", "Bi", "Bi"], "frac_coords": [[0.0000, 0.0000, 0.0000], [0.5000, 0.5000, 0.5000], [0.9001, 0.9001, 0.2996], [0.0999, 0.0999, 0.7004]]}

{"formula": "CeNbBi", "functional": "PBE-GGA", "state": "optimized geometry", "e_form_ev_per_atom": -0.04, "lattice_angstrom": [[-2.6585, 1.7308, -1.1327], [-2.0321, -2.5297, 0.9039], [0.6610, 6.4908, 13.3757]], "species": ["Nb", "Bi", "Ce", "Ce", "Nb", "Bi"], "frac_coords": [[0.7259, 0.7259, 0.4519], [0.5650, 0.5650, 0.1299], [0.8474, 0.8474, 0.6948], [0.1526, 0.1526, 0.3052], [0.2741, 0.2741, 0.5481], [0.4350, 0.4350, 0.8701]]}

{"formula": "CeNd2Bi", "functional": "PBE-GGA", "state": "optimized geometry", "e_form_ev_per_atom": -0.15, "lattice_angstrom": [[-3.4464, 0.3868, -1.2275], [-2.7371, -1.8845, 1.5782], [-3.6681, 7.8036, 7.2443]], "species": ["Ce", "Bi", "Nd", "Nd"], "frac_coords": [[0.5000, 0.5000, 0.5000], [0.0000, 0.0000, 0.0000], [0.7474, 0.7474, 0.7577], [0.2526, 0.2526, 0.2423]]}

{"formula": "CeNd2Bi", "functional": "PBE-GGA", "state": "optimized geometry", "e_form_ev_per_atom": -0.39, "lattice_angstrom": [[4.7859, 0.0000, 0.0000], [0.0000, 5.0309, 0.0000], [0.0000, 0.0000, 5.0309]], "species": ["Nd", "Ce", "Nd", "Bi"], "frac_coords": [[0.0000, 0.0000, 0.5000], [0.5000, 0.5000, 0.5000], [0.0000, 0.5000, 0.0000], [0.5000, 0.0000, 0.0000]]}

{"formula": "CeNd3Bi2", "functional": "PBE-GGA", "state": "optimized geometry", "e_form_ev_per_atom": -0.62, "lattice_angstrom": [[4.6051, 0.0000, 0.0000], [0.0000, 4.6051, 0.0000], [0.0000, 0.0000, 9.1069]], "species": ["Ce", "Nd", "Nd", "Bi", "Nd", "Bi"], "frac_coords": [[0.5000, 0.5000, 0.0000], [0.5000, 0.0000, 0.3574], [0.0000, 0.0000, 0.0000], [0.5000, 0.0000, 0.7204], [0.0000, 0.5000, 0.6426], [0.0000, 0.5000, 0.2796]]}

{"formula": "CeNdBi", "functional": "PBE-GGA", "state": "optimized geometry", "e_form_ev_per_atom": -0.34, "lattice_angstrom": [[5.8794, 0.0000, 0.0000], [0.0000, 3.4548, 0.0000], [-2.9397, -1.7274, 9.4149]], "species": ["Nd", "Bi", "Bi", "Ce", "Nd", "Ce"], "frac_coords": [[0.6706, 0.1706, 0.3413], [0.1546, 0.6546, 0.3092], [0.8454, 0.3454, 0.6908], [0.2732, 0.5000, 0.0000], [0.3294, 0.8294, 0.6587], [0.7268, 0.5000, 0.0000]]}

no.,theoretical density (g/cm3)
1,7.85
2,4.41
3,4.61
4,5.48
5,7.06
6,8.72
7,9.61
8,8.81
9,8.17
10,8.74
11,8.52
12,8.57